(1)
Crystalline HfReSi at its relaxed geometry. Source: the Open Quantum Materials Database, functional PBE-GGA.

Computed properties:
**Raw total energy**: -9.42 eV/atom

Cell lengths 7.2758, 7.2758, 3.1325 Å; angles 90.00, 90.00, 120.00 degrees
Space group P-62m (No. 189)
Asymmetric unit:
1 Hf 0.0000 0.2782 0.0000 x3
2 Re 0.0000 0.6099 0.5000 x3
3 Si 0.0000 0.0000 0.5000 x1
4 Si 0.3333 0.6667 0.0000 x2


(2)
Crystalline LiTl2NiI6 at its relaxed geometry. Source: the Open Quantum Materials Database, functional PBE-GGA.

Computed properties:
**Raw total energy**: -2.59 eV/atom

Cell lengths 7.9397, 7.9397, 18.8809 Å; angles 90.00, 90.00, 120.00 degrees
Space group R-3 (No. 148, hexagonal axes)
Asymmetric unit:
1 Li 0.0000 0.0000 0.0000 x3
2 Tl 0.0000 0.0000 0.2695 x6
3 Ni 0.0000 0.0000 0.5000 x3
4 I 0.0198 0.5744 0.2479 x18


(3)
Crystalline ZrCoTcGe at its relaxed geometry. Source: the Open Quantum Materials Database, functional PBE-GGA.

Computed properties:
**Raw total energy**: -7.98 eV/atom

Cell lengths 6.224, 6.224, 6.224 Å; angles 90.00, 90.00, 90.00 degrees
Space group F-43m (No. 216)
Asymmetric unit:
1 Zr 0.000 0.000 0.000 x4
2 Co 0.250 0.250 0.750 x4
3 Tc 0.250 0.250 0.250 x4
4 Ge 0.000 0.000 0.500 x4


(4)
Crystalline ZrGaCoMo at its relaxed geometry. Source: the Open Quantum Materials Database, functional PBE-GGA.

Computed properties:
**Raw total energy**: -7.37 eV/atom

Cell lengths 6.306, 6.306, 6.306 Å; angles 90.00, 90.00, 90.00 degrees
Space group F-43m (No. 216)
Asymmetric unit:
1 Zr 0.000 0.000 0.000 x4
2 Ga 0.000 0.000 0.500 x4
3 Co 0.250 0.250 0.750 x4
4 Mo 0.250 0.250 0.250 x4